Below is Li2ZnIr after structural relaxation, with properties calculated at the PBE level.

a b c (Å): 3.059 4.144 4.269
angles (deg): 90.00 90.00 90.00
Space group Pmmm (No. 47)
One atom of each set of equivalent atoms:
Li: 0.000 0.000 0.000 [1 per cell]
Li: 0.500 0.500 0.000 [1 per cell]
Zn: 0.000 0.500 0.500 [1 per cell]
Ir: 0.500 0.000 0.500 [1 per cell]

Properties
Total DFT energy (no corrections) (eV/cell): -14.9
Formation energy (kcal/mol of atoms): -5.568
Spin magnetization (Bohr magnetons per cell): 0.00